Ac2TlCu2Pd5 | PBE | optimized geometry

E_form: -0.555 eV per atom

a b c (Å): 9.975 9.975 3.990
angles (deg): 90.00 90.00 90.00
Fractional coordinates of all 20 atoms:
Ac  0.179  0.321  0.000
Ac  0.321  0.821  0.000
Ac  0.679  0.179  0.000
Ac  0.821  0.679  0.000
Tl  0.000  0.000  0.000
Tl  0.500  0.500  0.000
Cu  0.118  0.618  0.000
Cu  0.382  0.118  0.000
Cu  0.618  0.882  0.000
Cu  0.882  0.382  0.000
Pd  0.000  0.500  0.500
Pd  0.065  0.786  0.500
Pd  0.214  0.065  0.500
Pd  0.286  0.565  0.500
Pd  0.435  0.286  0.500
Pd  0.500  0.000  0.500
Pd  0.565  0.714  0.500
Pd  0.714  0.435  0.500
Pd  0.786  0.935  0.500
Pd  0.935  0.214  0.500

Ac3TlCu2Pd9 | PBE | optimized geometry

E_form: -0.443 eV per atom

a b c (Å): 5.835 5.835 12.031
angles (deg): 90.00 90.00 120.00
Fractional coordinates of all 15 atoms:
Ac  0.000  0.000  0.000
Ac  0.333  0.667  0.760
Ac  0.667  0.333  0.240
Tl  0.000  0.000  0.500
Cu  0.333  0.667  0.159
Cu  0.667  0.333  0.841
Pd  0.000  0.500  0.000
Pd  0.164  0.328  0.313
Pd  0.164  0.836  0.313
Pd  0.328  0.164  0.687
Pd  0.500  0.000  0.000
Pd  0.500  0.500  0.000
Pd  0.672  0.836  0.313
Pd  0.836  0.164  0.687
Pd  0.836  0.672  0.687

AcTlCuPd | PBE | optimized geometry

E_form: -0.281 eV per atom

a b c (Å): 7.217 7.217 7.217
angles (deg): 90.00 90.00 90.00
Fractional coordinates of all 16 atoms:
Ac  0.000  0.000  0.000
Ac  0.000  0.500  0.500
Ac  0.500  0.000  0.500
Ac  0.500  0.500  0.000
Tl  0.000  0.000  0.500
Tl  0.000  0.500  0.000
Tl  0.500  0.000  0.000
Tl  0.500  0.500  0.500
Cu  0.250  0.250  0.750
Cu  0.250  0.750  0.250
Cu  0.750  0.250  0.250
Cu  0.750  0.750  0.750
Pd  0.250  0.250  0.250
Pd  0.250  0.750  0.750
Pd  0.750  0.250  0.750
Pd  0.750  0.750  0.250

AcTl2CuPd4 | PBE | optimized geometry

E_form: -0.339 eV per atom

a b c (Å): 9.297 9.297 9.297
angles (deg): 28.79 28.79 28.79
Fractional coordinates of all 8 atoms:
Ac  0.000  0.000  0.000
Tl  0.237  0.237  0.237
Tl  0.763  0.763  0.763
Cu  0.500  0.500  0.500
Pd  0.132  0.132  0.132
Pd  0.403  0.403  0.403
Pd  0.597  0.597  0.597
Pd  0.868  0.868  0.868

Ac3Tl2CuPd6 | PBE | optimized geometry

E_form: -0.602 eV per atom

a b c (Å): 5.949 5.949 9.039
angles (deg): 90.00 90.00 120.00
Fractional coordinates of all 12 atoms:
Ac  0.000  0.000  0.000
Ac  0.333  0.667  0.614
Ac  0.667  0.333  0.386
Tl  0.333  0.667  0.018
Tl  0.667  0.333  0.982
Cu  0.000  0.000  0.500
Pd  0.172  0.343  0.290
Pd  0.172  0.828  0.290
Pd  0.343  0.172  0.710
Pd  0.657  0.828  0.290
Pd  0.828  0.172  0.710
Pd  0.828  0.657  0.710

AcTmCuPd | PBE | optimized geometry

E_form: -0.434 eV per atom

a b c (Å): 7.288 7.288 7.288
angles (deg): 90.00 90.00 90.00
Fractional coordinates of all 16 atoms:
Ac  0.000  0.000  0.000
Ac  0.000  0.500  0.500
Ac  0.500  0.000  0.500
Ac  0.500  0.500  0.000
Tm  0.000  0.000  0.500
Tm  0.000  0.500  0.000
Tm  0.500  0.000  0.000
Tm  0.500  0.500  0.500
Cu  0.250  0.250  0.250
Cu  0.250  0.750  0.750
Cu  0.750  0.250  0.750
Cu  0.750  0.750  0.250
Pd  0.250  0.250  0.750
Pd  0.250  0.750  0.250
Pd  0.750  0.250  0.250
Pd  0.750  0.750  0.750

AcYCuPd | PBE | optimized geometry

E_form: -0.419 eV per atom

a b c (Å): 7.342 7.342 7.342
angles (deg): 90.00 90.00 90.00
Fractional coordinates of all 16 atoms:
Ac  0.000  0.000  0.000
Ac  0.000  0.500  0.500
Ac  0.500  0.000  0.500
Ac  0.500  0.500  0.000
Y  0.000  0.000  0.500
Y  0.000  0.500  0.000
Y  0.500  0.000  0.000
Y  0.500  0.500  0.500
Cu  0.250  0.250  0.250
Cu  0.250  0.750  0.750
Cu  0.750  0.250  0.750
Cu  0.750  0.750  0.250
Pd  0.250  0.250  0.750
Pd  0.250  0.750  0.250
Pd  0.750  0.250  0.250
Pd  0.750  0.750  0.750

Ac2YCuPd6 | PBE | optimized geometry

E_form: -0.542 eV per atom

a b c (Å): 5.831 5.831 9.107
angles (deg): 108.61 108.61 60.00
Fractional coordinates of all 10 atoms:
Ac  0.209  0.209  0.127
Ac  0.791  0.791  0.873
Y  0.000  0.000  0.500
Cu  0.500  0.500  0.000
Pd  0.238  0.743  0.226
Pd  0.257  0.257  0.774
Pd  0.257  0.762  0.774
Pd  0.743  0.238  0.226
Pd  0.743  0.743  0.226
Pd  0.762  0.257  0.774

Ac2Zn12Cu3Pd | PBE | optimized geometry

E_form: 0.125 eV per atom

a b c (Å): 8.365 8.365 8.365
angles (deg): 59.15 59.15 59.15
Fractional coordinates of all 18 atoms:
Ac  0.107  0.107  0.107
Ac  0.893  0.893  0.893
Zn  0.141  0.611  0.611
Zn  0.163  0.163  0.501
Zn  0.163  0.501  0.163
Zn  0.389  0.389  0.859
Zn  0.389  0.859  0.389
Zn  0.499  0.837  0.837
Zn  0.501  0.163  0.163
Zn  0.611  0.141  0.611
Zn  0.611  0.611  0.141
Zn  0.837  0.499  0.837
Zn  0.837  0.837  0.499
Zn  0.859  0.389  0.389
Cu  0.000  0.500  0.500
Cu  0.500  0.000  0.500
Cu  0.500  0.500  0.000
Pd  0.500  0.500  0.500

Ac3Zn2CuPd6 | PBE | optimized geometry

E_form: -0.592 eV per atom

a b c (Å): 5.861 5.861 9.000
angles (deg): 90.00 90.00 120.00
Fractional coordinates of all 12 atoms:
Ac  0.000  0.000  0.000
Ac  0.333  0.667  0.621
Ac  0.667  0.333  0.379
Zn  0.333  0.667  0.052
Zn  0.667  0.333  0.948
Cu  0.000  0.000  0.500
Pd  0.171  0.342  0.284
Pd  0.171  0.829  0.284
Pd  0.342  0.171  0.716
Pd  0.658  0.829  0.284
Pd  0.829  0.171  0.716
Pd  0.829  0.658  0.716

Ac3Zn2CuPd9 | PBE | optimized geometry

E_form: -0.449 eV per atom

a b c (Å): 7.428 7.428 6.803
angles (deg): 90.00 90.00 120.00
Fractional coordinates of all 15 atoms:
Ac  0.000  0.000  0.000
Ac  0.333  0.667  0.665
Ac  0.667  0.333  0.335
Zn  0.333  0.667  0.168
Zn  0.667  0.333  0.832
Cu  0.000  0.000  0.500
Pd  0.000  0.500  0.000
Pd  0.167  0.333  0.334
Pd  0.167  0.833  0.334
Pd  0.333  0.167  0.666
Pd  0.500  0.000  0.000
Pd  0.500  0.500  0.000
Pd  0.667  0.833  0.334
Pd  0.833  0.167  0.666
Pd  0.833  0.667  0.666

Ac2Zn4Cu3Pd | PBE | optimized geometry

E_form: -0.316 eV per atom

a b c (Å): 4.480 4.480 9.947
angles (deg): 90.00 90.00 90.00
Fractional coordinates of all 10 atoms:
Ac  0.000  0.500  0.247
Ac  0.500  0.000  0.753
Zn  0.000  0.000  0.500
Zn  0.000  0.500  0.875
Zn  0.500  0.000  0.125
Zn  0.500  0.500  0.500
Cu  0.000  0.000  0.000
Cu  0.000  0.500  0.621
Cu  0.500  0.000  0.379
Pd  0.500  0.500  0.000

AcZn2CuPd4 | PBE | optimized geometry

E_form: -0.531 eV per atom

a b c (Å): 9.224 9.224 9.224
angles (deg): 27.19 27.19 27.19
Fractional coordinates of all 8 atoms:
Ac  0.000  0.000  0.000
Zn  0.231  0.231  0.231
Zn  0.769  0.769  0.769
Cu  0.500  0.500  0.500
Pd  0.130  0.130  0.130
Pd  0.404  0.404  0.404
Pd  0.596  0.596  0.596
Pd  0.870  0.870  0.870

AcZn4CuPd2 | PBE | optimized geometry

E_form: -0.372 eV per atom

a b c (Å): 9.405 9.405 9.405
angles (deg): 26.64 26.64 26.64
Fractional coordinates of all 8 atoms:
Ac  0.000  0.000  0.000
Zn  0.133  0.133  0.133
Zn  0.409  0.409  0.409
Zn  0.591  0.591  0.591
Zn  0.867  0.867  0.867
Cu  0.500  0.500  0.500
Pd  0.230  0.230  0.230
Pd  0.770  0.770  0.770

AcZnCuPd2 | PBE | optimized geometry

E_form: -0.389 eV per atom

a b c (Å): 7.112 7.112 5.737
angles (deg): 90.00 90.00 134.43
Fractional coordinates of all 10 atoms:
Ac  0.250  0.750  0.766
Ac  0.750  0.250  0.234
Zn  0.250  0.250  0.500
Zn  0.750  0.750  0.500
Cu  0.000  0.000  0.000
Cu  0.500  0.500  0.000
Pd  0.144  0.856  0.287
Pd  0.356  0.644  0.287
Pd  0.644  0.356  0.713
Pd  0.856  0.144  0.713

Ac2ZnCu2Pd5 | PBE | optimized geometry

E_form: -0.554 eV per atom

a b c (Å): 9.783 9.783 3.961
angles (deg): 90.00 90.00 90.00
Fractional coordinates of all 20 atoms:
Ac  0.180  0.320  0.000
Ac  0.320  0.820  0.000
Ac  0.680  0.180  0.000
Ac  0.820  0.680  0.000
Zn  0.000  0.000  0.000
Zn  0.500  0.500  0.000
Cu  0.118  0.618  0.000
Cu  0.382  0.118  0.000
Cu  0.618  0.882  0.000
Cu  0.882  0.382  0.000
Pd  0.000  0.500  0.500
Pd  0.061  0.796  0.500
Pd  0.204  0.061  0.500
Pd  0.296  0.561  0.500
Pd  0.439  0.296  0.500
Pd  0.500  0.000  0.500
Pd  0.561  0.704  0.500
Pd  0.704  0.439  0.500
Pd  0.796  0.939  0.500
Pd  0.939  0.204  0.500

Ac2ZnCu6Pd | PBE | optimized geometry

E_form: -0.140 eV per atom

a b c (Å): 6.353 6.431 6.445
angles (deg): 61.41 61.59 61.48
Fractional coordinates of all 10 atoms:
Ac  0.188  0.190  0.191
Ac  0.812  0.810  0.809
Zn  0.500  0.500  0.500
Cu  0.166  0.328  0.609
Cu  0.332  0.608  0.166
Cu  0.390  0.834  0.669
Cu  0.610  0.166  0.331
Cu  0.668  0.392  0.834
Cu  0.834  0.672  0.391
Pd  0.000  0.000  0.000

AcZnCuPd | PBE | optimized geometry

E_form: -0.480 eV per atom
relative energy among the computed polymorphs: 0 meV/atom

a b c (Å): 7.682 4.442 5.735
angles (deg): 90.00 116.74 90.00
Fractional coordinates of all 8 atoms:
Ac  0.000  0.000  0.000
Ac  0.500  0.500  0.000
Zn  0.000  0.500  0.500
Zn  0.500  0.000  0.500
Cu  0.300  0.500  0.399
Cu  0.800  0.000  0.399
Pd  0.203  0.000  0.610
Pd  0.703  0.500  0.610

Ac2Zn6CuPd | PBE | optimized geometry

E_form: -0.239 eV per atom

a b c (Å): 6.785 6.785 6.785
angles (deg): 119.88 119.88 90.20
Fractional coordinates of all 10 atoms:
Ac  0.250  0.750  0.500
Ac  0.750  0.250  0.500
Zn  0.245  0.245  0.000
Zn  0.245  0.245  0.490
Zn  0.245  0.755  0.000
Zn  0.755  0.245  0.000
Zn  0.755  0.755  0.000
Zn  0.755  0.755  0.510
Cu  0.000  0.000  0.000
Pd  0.500  0.500  0.000

Ac2Zn4CuPd3 | PBE | optimized geometry

E_form: -0.543 eV per atom

a b c (Å): 4.503 4.503 10.188
angles (deg): 90.00 90.00 90.00
Fractional coordinates of all 10 atoms:
Ac  0.000  0.500  0.243
Ac  0.500  0.000  0.757
Zn  0.000  0.000  0.500
Zn  0.000  0.500  0.882
Zn  0.500  0.000  0.118
Zn  0.500  0.500  0.500
Cu  0.500  0.500  0.000
Pd  0.000  0.000  0.000
Pd  0.000  0.500  0.630
Pd  0.500  0.000  0.370